# GGA-PBE LiSe2N2, optimized geometry
# M_tot   1.51 μB per formula unit
# Relative energy among the computed polymorphs   0.088 eV/atom
# Uncorrected formation energy   612 kJ/mol of formula units
data_LiSe2N2
_chemical_formula_sum 'Li1 Se2 N2'
_cell_length_a 4.323
_cell_length_b 4.323
_cell_length_c 3.879
_cell_angle_alpha 90.00
_cell_angle_beta 90.00
_cell_angle_gamma 90.00
_space_group_name_H-M_alt 'P 4/m m m'
_space_group_IT_number 123
_space_group_name_Hall '-P 4 2'
loop_
_atom_site_label
_atom_site_fract_x
_atom_site_fract_y
_atom_site_fract_z
Li1 0.000 0.000 0.000
Se1 0.000 0.500 0.500
N1 0.500 0.500 0.000
N2 0.500 0.500 0.500



# GGA-PBE KNiBr2, optimized geometry
# M_tot   1.03 μB per formula unit
# Relative energy among the computed polymorphs   0.445 eV/atom
# Uncorrected formation energy   -125 kJ/mol of formula units
data_KNiBr2
_chemical_formula_sum 'K1 Ni1 Br2'
_cell_length_a 3.634
_cell_length_b 5.123
_cell_length_c 5.336
_cell_angle_alpha 90.00
_cell_angle_beta 90.00
_cell_angle_gamma 90.00
_space_group_name_H-M_alt 'P m m m'
_space_group_IT_number 47
loop_
_space_group_symop_operation_xyz
'x,y,z'
'-x,-y,-z'
'-x,-y,z'
'x,y,-z'
'x,-y,-z'
'-x,y,z'
'-x,y,-z'
'x,-y,z'
loop_
_atom_site_label
_atom_site_fract_x
_atom_site_fract_y
_atom_site_fract_z
K1 0.000 0.000 0.000
Ni1 0.000 0.500 0.500
Br1 0.500 0.000 0.500
Br2 0.500 0.500 0.000



# GGA-PBE LiNi3Sn5, optimized geometry
# M_tot   0.00 μB per formula unit
# ΔH_f (0 K)   -9 kJ/mol of atoms
data_LiNi3Sn5
_chemical_formula_sum 'Li4 Ni12 Sn20'
_cell_length_a 11.175
_cell_length_b 8.825
_cell_length_c 9.451
_cell_angle_alpha 90.00
_cell_angle_beta 122.99
_cell_angle_gamma 90.00
_space_group_name_H-M_alt 'C 1 2/m 1'
_space_group_IT_number 12
loop_
_space_group_symop_operation_xyz
'x,y,z'
'-x,-y,-z'
'-x,y,-z'
'x,-y,z'
'x+1/2,y+1/2,z'
'-x+1/2,-y+1/2,-z'
'-x+1/2,y+1/2,-z'
'x+1/2,-y+1/2,z'
loop_
_atom_site_label
_atom_site_fract_x
_atom_site_fract_y
_atom_site_fract_z
Li1 0.098 0.000 0.315
Ni1 0.000 0.000 0.000
Ni2 0.000 0.000 0.500
Ni3 0.166 0.500 0.680
Ni4 0.169 0.500 0.173
Sn1 0.000 0.281 0.000
Sn2 0.082 0.500 0.369
Sn3 0.163 0.220 0.658
Sn4 0.226 0.000 0.004